DFT (PBE) results for a relaxed structure of LaTl2In.

Calculated values
Its density of states at the Fermi level is 0.640 states/eV per atom. As for the formation energy from the elements: -294 meV/atom. The total magnetization is 0.000 μB per cell.

a b c (Å): 4.863 4.863 9.841
angles (deg): 90.00 90.00 90.00
Element x y z (fractional)
1 La 0.000 0.000 0.000
2 La 0.500 0.500 0.500
3 Tl 0.000 0.500 0.250
4 Tl 0.000 0.500 0.750
5 Tl 0.500 0.000 0.250
6 Tl 0.500 0.000 0.750
7 In 0.000 0.000 0.500
8 In 0.500 0.500 0.000